(1)
Entry from Alexandria: a relaxed structure of Fe4H3 (PBE).

Values from the calculation:
Mass density: 7273 kg/m³

Cell lengths 3.7251, 3.7251, 3.7251 Å; angles 90.00, 90.00, 90.00 degrees
Atoms (fractional coordinates):
Fe 0.0000 0.0000 0.0000
Fe 0.0000 0.5000 0.5000
Fe 0.5000 0.0000 0.5000
Fe 0.5000 0.5000 0.0000
H 0.0000 0.0000 0.5000
H 0.0000 0.5000 0.0000
H 0.5000 0.0000 0.0000


(2)
Entry from Alexandria: a relaxed structure of Fe3H (PBE).

Values from the calculation:
Excess energy over the best structure of this formula in the dataset: 475 meV per atom
Mass density: 6757 kg/m³

Cell lengths 5.1733, 5.1733, 3.5739 Å; angles 90.00, 90.00, 120.00 degrees
Atoms (fractional coordinates):
Fe 0.1736 0.3471 0.2500
Fe 0.1736 0.8264 0.2500
Fe 0.3471 0.1736 0.7500
Fe 0.6529 0.8264 0.2500
Fe 0.8264 0.1736 0.7500
Fe 0.8264 0.6529 0.7500
H 0.3333 0.6667 0.7500
H 0.6667 0.3333 0.2500


(3)
Entry from Alexandria: a relaxed structure of Fe5H (PBE).

Values from the calculation:
Mass density: 7835 kg/m³

Cell lengths 4.9299, 4.9299, 3.5958 Å; angles 90.00, 90.00, 137.19 degrees
Atoms (fractional coordinates):
Fe 0.0000 0.0000 0.0000
Fe 0.1635 0.8365 0.5000
Fe 0.3393 0.6607 0.0000
Fe 0.6607 0.3393 0.0000
Fe 0.8365 0.1635 0.5000
H 0.5000 0.5000 0.5000


(4)
Entry from Alexandria: a relaxed structure of Fe3H (PBE).

Values from the calculation:
Excess energy over the best structure of this formula in the dataset: 158 meV per atom
Mass density: 7518 kg/m³

Cell lengths 2.4334, 2.4378, 6.2750 Å; angles 90.00, 90.00, 90.00 degrees
Atoms (fractional coordinates):
Fe 0.0000 0.0000 0.0000
Fe 0.0000 0.5000 0.3421
Fe 0.5000 0.5000 0.7111
H 0.5000 0.0000 0.4898


(5)
Entry from Alexandria: a relaxed structure of FeH3 (PBE).

Values from the calculation:
Mass density: 5582 kg/m³

Cell lengths 3.2718, 3.2718, 3.2718 Å; angles 90.00, 90.00, 90.00 degrees
Atoms (fractional coordinates):
Fe 0.0000 0.0000 0.0000
Fe 0.5000 0.5000 0.5000
H 0.0000 0.2500 0.5000
H 0.0000 0.7500 0.5000
H 0.2500 0.5000 0.0000
H 0.5000 0.0000 0.2500
H 0.5000 0.0000 0.7500
H 0.7500 0.5000 0.0000


(6)
Entry from Alexandria: a relaxed structure of Fe8H (PBE).

Values from the calculation:
Mass density: 8687 kg/m³

Cell lengths 4.9874, 4.9874, 3.9732 Å; angles 90.00, 90.00, 120.00 degrees
Atoms (fractional coordinates):
Fe 0.1699 0.3398 0.2450
Fe 0.1699 0.8301 0.2450
Fe 0.3333 0.6667 0.7497
Fe 0.3398 0.1699 0.7550
Fe 0.6602 0.8301 0.2450
Fe 0.6667 0.3333 0.2503
Fe 0.8301 0.1699 0.7550
Fe 0.8301 0.6602 0.7550
H 0.0000 0.0000 0.5000


no.,total moment (μB/atom),raw total energy (eV per atom),calculated volume (A^3/atom)
1,1.244,-6.2518,7.4
2,1.871,-6.5781,10.4
3,1.042,-7.1276,9.9
4,0.578,-6.8948,9.3
5,0.000,-4.2323,4.4
6,0.019,-7.8213,9.5